Record 1
VASP calculation (PBE with a Hubbard U) on crystalline Cr3SF at its relaxed geometry.

Geometry as POSCAR:
```
Cr3SF
1.0
4.821 0.000 0.000
0.000 4.821 0.000
0.000 0.000 4.821
Cr S F
3 1 1
Direct
0.000 0.000 0.500
0.000 0.500 0.000
0.500 0.000 0.000
0.000 0.000 0.000
0.500 0.500 0.500
```

Its volume is 112 Å³ per cell. The space-group type is Pm-3m. For the relative energy among the computed polymorphs, the calculation gives 0 meV per atom.



Record 2
VASP calculation (PBE with a Hubbard U) on crystalline Cr2SF2 at its relaxed geometry.

Geometry as POSCAR:
```
Cr2SF2
1.0
6.882 0.000 0.000
0.000 6.882 0.000
0.000 0.000 3.889
Cr S F
4 2 4
Direct
0.206 0.294 0.000
0.294 0.794 0.000
0.706 0.206 0.000
0.794 0.706 0.000
0.000 0.000 0.000
0.500 0.500 0.000
0.166 0.334 0.500
0.334 0.834 0.500
0.666 0.166 0.500
0.834 0.666 0.500
```

Its volume is 184 Å³ per cell. The space-group type is P4/mbm. For the relative energy among the computed polymorphs, the calculation gives 0 meV per atom.



Record 3
VASP calculation (PBE with a Hubbard U) on crystalline CrSF2 at its relaxed geometry.

Geometry as POSCAR:
```
CrSF2
1.0
0.000 2.974 2.974
2.974 0.000 2.974
2.974 2.974 0.000
Cr S F
1 1 2
Direct
0.000 0.000 0.000
0.500 0.500 0.500
0.250 0.250 0.250
0.750 0.750 0.750
```

Its volume is 53 Å³ per cell. The space-group type is Fm-3m. For the relative energy among the computed polymorphs, the calculation gives 413 meV per atom.



Record 4
VASP calculation (PBE with a Hubbard U) on crystalline CrSF2 at its relaxed geometry.

Geometry as POSCAR:
```
CrSF2
1.0
1.446 0.835 9.165
-1.446 0.835 9.165
0.000 -1.669 9.165
Cr S F
1 1 2
Direct
0.000 0.000 0.000
0.500 0.500 0.500
0.375 0.375 0.375
0.625 0.625 0.625
```

Its volume is 66 Å³ per cell. The space-group type is R-3m. For the relative energy among the computed polymorphs, the calculation gives 66 meV per atom.



Record 5
VASP calculation (PBE with a Hubbard U) on crystalline CrS2F2 at its relaxed geometry.

Geometry as POSCAR:
```
CrS2F2
1.0
-1.684 1.684 6.213
1.684 -1.684 6.213
1.684 1.684 -6.213
Cr S F
1 2 2
Direct
0.000 0.000 0.000
0.410 0.410 0.000
0.590 0.590 0.000
0.250 0.750 0.500
0.750 0.250 0.500
```

Its volume is 70 Å³ per cell. The space-group type is I4/mmm. For the relative energy among the computed polymorphs, the calculation gives 551 meV per atom.



Record 6
VASP calculation (PBE with a Hubbard U) on crystalline CrS2F at its relaxed geometry.

Geometry as POSCAR:
```
CrS2F
1.0
1.788 1.032 6.460
-1.788 1.032 6.460
0.000 -2.064 6.460
Cr S F
1 2 1
Direct
0.000 0.000 0.000
0.396 0.396 0.396
0.604 0.604 0.604
0.500 0.500 0.500
```

Its volume is 72 Å³ per cell. The space-group type is R-3m. For the relative energy among the computed polymorphs, the calculation gives 0 meV per atom.



Record 7
VASP calculation (PBE with a Hubbard U) on crystalline CrSF2 at its relaxed geometry.

Geometry as POSCAR:
```
CrSF2
1.0
-2.904 2.904 5.286
2.904 -2.904 5.286
2.904 2.904 -5.286
Cr S F
2 2 4
Direct
0.000 0.000 0.000
0.750 0.250 0.500
0.250 0.750 0.500
0.500 0.500 0.000
0.375 0.123 0.248
0.873 0.625 0.748
0.875 0.127 0.752
0.877 0.125 0.252
```

Its volume is 178 Å³ per cell. The space-group type is I-42d. For the relative energy among the computed polymorphs, the calculation gives 0 meV per atom.



Record 8
VASP calculation (PBE with a Hubbard U) on crystalline CrS3F at its relaxed geometry.

Geometry as POSCAR:
```
CrS3F
1.0
4.367 0.000 0.000
0.000 4.367 0.000
0.000 0.000 4.367
Cr S F
1 3 1
Direct
0.000 0.000 0.000
0.000 0.500 0.500
0.500 0.000 0.500
0.500 0.500 0.000
0.500 0.500 0.500
```

Its volume is 83 Å³ per cell. The space-group type is Pm-3m. For the relative energy among the computed polymorphs, the calculation gives 666 meV per atom.